## VSI2O (PBE with a Hubbard U)

Data for a relaxed VSI2O crystal.

a b c (Å): 5.6401 5.6401 3.6672
angles (deg): 90.00 90.00 90.00
Last column: magnetic moment on the atom in μB.
Element x y z (fractional)
1 I 0.0000 0.5000 0.0000  0.03
2 I 0.5000 0.0000 0.0000  0.03
3 S 0.0000 0.0000 0.0000  -0.01
4 O 0.0000 0.0000 0.5000  -0.01
5 V 0.5000 0.5000 0.5000  -1.15

Results
total DFT energy (no corrections)	-3.28	eV per atom
total magnetization	1.37	μB per formula unit
SG	No. 123
ρ	5022	kg/m³